The following is a DFT calculation (GGA-PBE) of Nb3AlFe after structural relaxation.

Summary:
E_form ... 154.1 kJ/mol of atoms
Magnetization ... 0.31 μB/f.u.
Crystal system ... cubic
E_tot ... -6.8855 eV per atom

abc: 4.651 4.651 4.651
angles: 90.00 90.00 90.00
Fractional coordinates of all 5 atoms:
Nb: 0.000 0.000 0.500
Nb: 0.000 0.500 0.000
Nb: 0.500 0.000 0.000
Al: 0.000 0.000 0.000
Fe: 0.500 0.500 0.500